Entry 1:
This record from Alexandria describes a relaxed Er8Ni2Ir crystal. The functional is PBE.

abc: 7.413 7.413 5.862
angles: 100.13 100.13 113.38
Fractional positions:
Er: 0.000 0.000 0.000
Er: 0.021 0.281 0.591
Er: 0.145 0.575 0.180
Er: 0.281 0.021 0.591
Er: 0.437 0.696 0.784
Er: 0.575 0.145 0.180
Er: 0.696 0.437 0.784
Er: 0.719 0.719 0.358
Ni: 0.048 0.666 0.680
Ni: 0.666 0.048 0.680
Ir: 0.361 0.361 0.018

For the formation energy, the calculation gives -0.272 eV per atom. The density of states at the Fermi level comes out at 11.51 states/eV/f.u. The energy above the most stable polymorph in this dataset comes out at 92 meV/atom.


Entry 2:
This record from Alexandria describes a relaxed Cs2RbH crystal. The functional is PBE.

abc: 4.323 4.323 12.682
angles: 90.00 90.00 90.00
Fractional positions:
Cs: 0.000 0.000 0.152
Cs: 0.000 0.000 0.848
Rb: 0.500 0.500 0.500
H: 0.500 0.500 0.000

The density of states at the Fermi level comes out at 2.52 states/eV/f.u. The energy above the most stable polymorph in this dataset comes out at 79 meV/atom.


Entry 3:
This record from Alexandria describes a relaxed ThCdCu crystal. The functional is PBE.

abc: 4.793 4.793 3.419
angles: 90.00 90.00 120.00
Fractional positions:
Th: 0.000 0.000 0.000
Cd: 0.333 0.667 0.500
Cu: 0.667 0.333 0.500

For the formation energy, the calculation gives -0.109 eV per atom. The density of states at the Fermi level comes out at 2.23 states/eV/f.u.


Entry 4:
This record from Alexandria describes a relaxed Sm4ErIn5 crystal. The functional is PBE.

abc: 3.803 3.803 19.140
angles: 90.00 90.00 90.00
Fractional positions:
Sm: 0.000 0.000 0.101
Sm: 0.000 0.000 0.304
Sm: 0.000 0.000 0.696
Sm: 0.000 0.000 0.899
Er: 0.000 0.000 0.500
In: 0.500 0.500 0.000
In: 0.500 0.500 0.203
In: 0.500 0.500 0.407
In: 0.500 0.500 0.593
In: 0.500 0.500 0.797

For the formation energy, the calculation gives -0.482 eV per atom. The density of states at the Fermi level comes out at 5.60 states/eV/f.u.


Entry 5:
This record from Alexandria describes a relaxed Co2W4N crystal. The functional is PBE.

abc: 7.977 7.977 7.977
angles: 60.00 60.00 60.00
Fractional positions:
Co: 0.122 0.793 0.793
Co: 0.207 0.207 0.207
Co: 0.207 0.207 0.878
Co: 0.207 0.878 0.207
Co: 0.793 0.122 0.793
Co: 0.793 0.793 0.122
Co: 0.793 0.793 0.793
Co: 0.878 0.207 0.207
W: 0.000 0.000 0.000
W: 0.000 0.000 0.500
W: 0.000 0.500 0.000
W: 0.185 0.185 0.565
W: 0.185 0.565 0.185
W: 0.185 0.565 0.565
W: 0.435 0.435 0.815
W: 0.435 0.815 0.435
W: 0.435 0.815 0.815
W: 0.500 0.000 0.000
W: 0.565 0.185 0.185
W: 0.565 0.185 0.565
W: 0.565 0.565 0.185
W: 0.815 0.435 0.435
W: 0.815 0.435 0.815
W: 0.815 0.815 0.435
N: 0.000 0.500 0.500
N: 0.500 0.000 0.500
N: 0.500 0.500 0.000
N: 0.500 0.500 0.500

Its uncorrected formation energy is -0.11 eV per atom. The density of states at the Fermi level comes out at 6.45 states/eV/f.u.


Entry 6:
This record from Alexandria describes a relaxed YTlTe2 crystal. The functional is PBE.

abc: 8.319 4.786 15.349
angles: 90.00 90.00 90.00
Fractional positions:
Y: 0.075 0.250 0.111
Y: 0.425 0.750 0.611
Y: 0.575 0.250 0.389
Y: 0.925 0.750 0.889
Tl: 0.079 0.750 0.356
Tl: 0.421 0.250 0.856
Tl: 0.579 0.750 0.144
Tl: 0.921 0.250 0.644
Te: 0.155 0.750 0.742
Te: 0.213 0.750 0.018
Te: 0.287 0.250 0.518
Te: 0.345 0.250 0.242
Te: 0.655 0.750 0.758
Te: 0.713 0.750 0.482
Te: 0.787 0.250 0.982
Te: 0.845 0.250 0.258

Its uncorrected formation energy is -0.94 eV per atom. The density of states at the Fermi level comes out at 0.00 states/eV/f.u.


no.,total DFT energy (no corrections) (eV/atom)
1,-5.447
2,-1.463
3,-4.252
4,-4.195
5,-10.730
6,-4.722